A relaxed structure of Hg4AsI2, computed with PBE. Values from VASP.

Calculated values
* energy above the most stable polymorph in this dataset: 0.0031 eV/atom
* formation energy without anion corrections: -65 meV/atom
* SG: P2_1/m (11)

```
&SYSTEM
  ibrav = 0, nat = 14, ntyp = 3
/
ATOMIC_SPECIES
I 126.90 I.upf
Hg 200.59 Hg.upf
As 74.92 As.upf
CELL_PARAMETERS angstrom
-4.998 -2.672 -6.388
5.255 -4.563 -2.203
-2.498 -5.468 5.367
ATOMIC_POSITIONS angstrom
I -2.063 -6.507 2.509
I -2.548 -9.643 -4.249
I -0.178 -6.196 -5.732
I 0.308 -3.060 1.026
Hg 0.307 -9.012 1.257
Hg -0.865 -5.042 -2.325
Hg -2.888 -3.285 -1.477
Hg -5.057 -7.329 -2.931
Hg -2.548 -3.691 -4.480
Hg 2.817 -5.374 -0.292
Hg 0.648 -9.418 -1.747
Hg -1.375 -7.661 -0.899
As -3.972 -7.204 -0.601
As 1.731 -5.499 -2.623
```

A relaxed structure of HgAsI, computed with PBE. Values from VASP.

Calculated values
* energy above the most stable polymorph in this dataset: 0.1836 eV/atom
* formation energy without anion corrections: 76 meV/atom
* SG: P1 (1)

```
&SYSTEM
  ibrav = 0, nat = 6, ntyp = 3
/
ATOMIC_SPECIES
I 126.90 I.upf
Hg 200.59 Hg.upf
As 74.92 As.upf
CELL_PARAMETERS angstrom
7.146 -0.338 0.295
3.221 5.643 -0.344
3.442 -1.662 6.290
ATOMIC_POSITIONS angstrom
I 8.324 4.594 0.113
I 9.123 0.529 2.971
Hg 5.841 2.400 2.626
Hg 4.473 -0.533 3.264
As 9.716 4.029 4.516
As 4.848 -0.606 6.025
```

A relaxed structure of HgAs2I6, computed with PBE. Values from VASP.

Calculated values
* energy above the most stable polymorph in this dataset: 0.0000 eV/atom
* formation energy without anion corrections: -162 meV/atom
* SG: C2/c (15)

```
&SYSTEM
  ibrav = 0, nat = 18, ntyp = 3
/
ATOMIC_SPECIES
As 74.92 As.upf
I 126.90 I.upf
Hg 200.59 Hg.upf
CELL_PARAMETERS angstrom
-5.109 0.969 -5.425
-2.206 -10.844 -6.337
-11.613 2.100 4.834
ATOMIC_POSITIONS angstrom
As -10.788 -5.745 -5.997
As -10.204 -3.518 -0.945
As -8.724 -4.257 -5.984
As -8.140 -2.030 -0.931
I -14.469 -3.813 -4.248
I -4.458 -3.962 -2.681
I -10.380 -7.430 -7.880
I -8.955 -0.806 -3.088
I -5.130 -1.178 -5.775
I -12.101 -2.030 -0.089
I -9.973 -6.969 -3.841
I -13.798 -6.596 -1.154
I -4.132 0.479 -1.214
I -8.548 -0.345 0.951
I -6.827 -5.745 -6.840
I -14.796 -8.254 -5.715
Hg -6.043 -10.110 -10.400
Hg -12.885 2.336 3.471
```

A relaxed structure of HgAs2I, computed with PBE. Values from VASP.

Calculated values
* energy above the most stable polymorph in this dataset: 0.0000 eV/atom
* formation energy without anion corrections: 574 meV/atom
* SG: I-42d (122)

```
&SYSTEM
  ibrav = 0, nat = 8, ntyp = 3
/
ATOMIC_SPECIES
Hg 200.59 Hg.upf
I 126.90 I.upf
As 74.92 As.upf
CELL_PARAMETERS angstrom
5.860 0.000 0.000
0.000 5.860 0.000
2.930 2.930 7.623
ATOMIC_POSITIONS angstrom
Hg 5.860 2.930 3.812
Hg 0.000 0.000 0.000
I 2.930 5.860 3.812
I 2.930 2.930 0.000
As 4.647 1.465 1.906
As 4.395 4.144 5.718
As 7.325 7.577 5.718
As 1.214 4.395 1.906
```

A relaxed structure of Hg7As2I2, computed with PBE. Values from VASP.

Calculated values
* energy above the most stable polymorph in this dataset: 0.0025 eV/atom
* formation energy without anion corrections: 5 meV/atom
* SG: C2/m (12)

```
&SYSTEM
  ibrav = 0, nat = 11, ntyp = 3
/
ATOMIC_SPECIES
Hg 200.59 Hg.upf
I 126.90 I.upf
As 74.92 As.upf
CELL_PARAMETERS angstrom
-4.039 5.838 -1.814
-2.656 -1.770 -7.281
-7.473 -2.584 0.824
ATOMIC_POSITIONS angstrom
Hg -4.295 -0.173 -0.447
Hg -11.724 1.345 -4.709
Hg -2.020 2.919 -0.907
Hg -8.268 -2.343 -5.149
Hg -2.444 0.140 -3.562
Hg -5.900 3.828 -3.122
Hg -9.873 1.658 -7.824
I -3.780 -1.960 -5.390
I -6.349 -2.394 -1.066
As -3.927 1.748 -2.158
As -10.241 -0.264 -6.113
```

A relaxed structure of Hg4As12I, computed with PBE. Values from VASP.

Calculated values
* formation energy without anion corrections: 109 meV/atom
* SG: Im-3 (204)

```
&SYSTEM
  ibrav = 0, nat = 17, ntyp = 3
/
ATOMIC_SPECIES
Hg 200.59 Hg.upf
As 74.92 As.upf
I 126.90 I.upf
CELL_PARAMETERS angstrom
-5.563 3.917 -4.562
-1.514 -8.048 -0.157
-0.405 2.704 7.720
ATOMIC_POSITIONS angstrom
Hg -0.203 1.352 3.860
Hg -1.162 -1.319 7.641
Hg -4.701 -3.385 5.282
Hg -3.741 -0.713 1.500
As -4.630 0.786 3.756
As -5.496 1.093 -2.189
As -4.690 3.650 1.384
As -1.480 -1.107 3.192
As -2.760 1.878 5.004
As -2.852 -2.213 -0.756
As -4.722 -3.304 -2.003
As -3.113 1.900 0.550
As -4.369 -3.327 2.451
As -2.792 -5.077 1.616
As -6.002 -0.319 -0.191
As -1.986 -2.520 5.190
I 0.000 0.000 0.000
```

A relaxed structure of Hg2AsI, computed with PBE. Values from VASP.

Calculated values
* energy above the most stable polymorph in this dataset: 0.6166 eV/atom
* formation energy without anion corrections: 484 meV/atom
* SG: Fm-3m (225)

```
&SYSTEM
  ibrav = 0, nat = 4, ntyp = 3
/
ATOMIC_SPECIES
Hg 200.59 Hg.upf
As 74.92 As.upf
I 126.90 I.upf
CELL_PARAMETERS angstrom
0.000 3.782 3.782
3.782 0.000 3.782
3.782 3.782 0.000
ATOMIC_POSITIONS angstrom
Hg 5.673 5.673 5.673
Hg 1.891 1.891 1.891
As 0.000 0.000 0.000
I 3.782 3.782 3.782
```

A relaxed structure of Hg2AsI, computed with PBE. Values from VASP.

Calculated values
* energy above the most stable polymorph in this dataset: 0.2209 eV/atom
* formation energy without anion corrections: 88 meV/atom
* SG: R-3m (166)

```
&SYSTEM
  ibrav = 0, nat = 4, ntyp = 3
/
ATOMIC_SPECIES
Hg 200.59 Hg.upf
As 74.92 As.upf
I 126.90 I.upf
CELL_PARAMETERS angstrom
-3.087 2.889 0.829
-1.502 0.457 4.012
4.340 6.947 3.147
ATOMIC_POSITIONS angstrom
Hg 2.346 4.966 2.626
Hg -2.595 5.327 5.362
As -0.124 5.146 3.994
I 0.000 0.000 0.000
```

A relaxed structure of Hg2AsI, computed with PBE. Values from VASP.

Calculated values
* energy above the most stable polymorph in this dataset: 0.0265 eV/atom
* formation energy without anion corrections: -106 meV/atom
* SG: I-42d (122)

```
&SYSTEM
  ibrav = 0, nat = 8, ntyp = 3
/
ATOMIC_SPECIES
I 126.90 I.upf
Hg 200.59 Hg.upf
As 74.92 As.upf
CELL_PARAMETERS angstrom
6.585 0.000 0.000
0.000 6.585 0.000
3.292 3.292 6.696
ATOMIC_POSITIONS angstrom
I 0.000 0.000 0.000
I 6.585 3.292 3.348
Hg 4.376 1.646 1.674
Hg 2.208 4.938 1.674
Hg 8.231 7.669 5.022
Hg 4.938 5.501 5.022
As 3.292 6.585 3.348
As 3.292 3.292 0.000
```

A relaxed structure of Hg3As2I2, computed with PBE. Values from VASP.

Calculated values
* formation energy without anion corrections: 118 meV/atom
* SG: C2/m (12)

```
&SYSTEM
  ibrav = 0, nat = 7, ntyp = 3
/
ATOMIC_SPECIES
I 126.90 I.upf
Hg 200.59 Hg.upf
As 74.92 As.upf
CELL_PARAMETERS angstrom
-0.519 -4.382 0.316
8.563 1.622 5.589
-5.900 0.854 2.162
ATOMIC_POSITIONS angstrom
I -3.176 -1.626 3.194
I 5.320 -0.278 4.873
Hg 1.507 0.175 4.906
Hg 0.637 -2.080 3.160
Hg 0.000 0.000 0.000
As 2.783 -2.164 5.518
As -0.639 0.259 2.548
```

A relaxed structure of Hg2As2I, computed with PBE. Values from VASP.

Calculated values
* energy above the most stable polymorph in this dataset: 0.0324 eV/atom
* formation energy without anion corrections: 219 meV/atom
* SG: I4/mmm (139)

```
&SYSTEM
  ibrav = 0, nat = 5, ntyp = 3
/
ATOMIC_SPECIES
Hg 200.59 Hg.upf
As 74.92 As.upf
I 126.90 I.upf
CELL_PARAMETERS angstrom
3.936 0.000 0.000
0.000 3.936 0.000
1.968 1.968 8.675
ATOMIC_POSITIONS angstrom
Hg 3.936 3.936 6.763
Hg 1.968 1.968 1.912
As 3.936 1.968 4.338
As 1.968 3.936 4.338
I 0.000 0.000 0.000
```

A relaxed structure of Hg4AsI2, computed with PBE. Values from VASP.

Calculated values
* energy above the most stable polymorph in this dataset: 0.0000 eV/atom
* formation energy without anion corrections: -68 meV/atom
* SG: I4/mmm (139)

```
&SYSTEM
  ibrav = 0, nat = 7, ntyp = 3
/
ATOMIC_SPECIES
Hg 200.59 Hg.upf
I 126.90 I.upf
As 74.92 As.upf
CELL_PARAMETERS angstrom
5.485 0.000 0.000
0.000 5.485 0.000
-2.742 -2.742 8.045
ATOMIC_POSITIONS angstrom
Hg 2.742 2.742 5.289
Hg 0.000 2.742 0.000
Hg 0.000 0.000 2.757
Hg 2.742 0.000 0.000
I 0.000 0.000 5.732
I 2.742 2.742 2.314
As 0.000 0.000 0.000
```

A relaxed structure of Hg4As2I5, computed with PBE. Values from VASP.

Calculated values
* formation energy without anion corrections: -116 meV/atom
* SG: P-1 (2)

```
&SYSTEM
  ibrav = 0, nat = 11, ntyp = 3
/
ATOMIC_SPECIES
As 74.92 As.upf
Hg 200.59 Hg.upf
I 126.90 I.upf
CELL_PARAMETERS angstrom
-1.191 -1.206 4.055
-5.724 -6.556 -3.673
9.418 -3.694 -0.705
ATOMIC_POSITIONS angstrom
As 4.845 -7.771 -0.901
As -2.342 -3.685 0.579
Hg 6.679 -6.442 2.421
Hg -4.177 -5.014 -2.743
Hg 3.501 -5.529 -0.624
Hg -0.998 -5.926 0.302
I -1.934 -6.840 -2.626
I 1.010 -7.841 0.330
I -0.596 -0.603 2.027
I 4.437 -4.616 2.303
I 1.493 -3.615 -0.653
```

A relaxed structure of Hg7As2I2, computed with PBE. Values from VASP.

Calculated values
* energy above the most stable polymorph in this dataset: 0.0000 eV/atom
* formation energy without anion corrections: 3 meV/atom
* SG: C2/m (12)

```
&SYSTEM
  ibrav = 0, nat = 11, ntyp = 3
/
ATOMIC_SPECIES
Hg 200.59 Hg.upf
I 126.90 I.upf
As 74.92 As.upf
CELL_PARAMETERS angstrom
4.783 -0.037 0.311
0.640 8.728 0.896
0.064 0.586 8.778
ATOMIC_POSITIONS angstrom
Hg 3.674 5.878 9.004
Hg 1.812 3.399 0.980
Hg 1.624 0.744 3.551
Hg 4.440 3.791 4.241
Hg 1.046 5.486 5.744
Hg 3.862 8.533 6.434
Hg 0.000 0.000 0.000
I 2.612 2.789 6.783
I 2.874 6.488 3.202
As 4.660 1.881 2.284
As 0.826 7.396 7.701
```

A relaxed structure of Hg4AsI, computed with PBE. Values from VASP.

Calculated values
* formation energy without anion corrections: 0 meV/atom
* SG: Cmcm (63)

```
&SYSTEM
  ibrav = 0, nat = 12, ntyp = 3
/
ATOMIC_SPECIES
Hg 200.59 Hg.upf
As 74.92 As.upf
I 126.90 I.upf
CELL_PARAMETERS angstrom
-5.505 0.925 -0.851
-0.848 -5.100 -2.269
-2.860 -5.228 12.819
ATOMIC_POSITIONS angstrom
Hg -4.936 -3.636 4.095
Hg -3.916 -1.770 -0.480
Hg -7.019 -7.028 7.259
Hg -2.193 -2.375 2.439
Hg -4.276 -5.768 5.603
Hg -5.490 -4.542 0.820
Hg -5.296 -7.634 10.179
Hg -3.722 -4.861 8.879
As -4.202 -7.457 7.713
As -5.010 -1.947 1.985
I 0.000 0.000 0.000
I -1.430 -2.614 6.409
```

A relaxed structure of HgAsI, computed with PBE. Values from VASP.

Calculated values
* energy above the most stable polymorph in this dataset: 0.0000 eV/atom
* formation energy without anion corrections: -107 meV/atom
* SG: P-1 (2)

```
&SYSTEM
  ibrav = 0, nat = 6, ntyp = 3
/
ATOMIC_SPECIES
I 126.90 I.upf
As 74.92 As.upf
Hg 200.59 Hg.upf
CELL_PARAMETERS angstrom
0.640 -3.872 0.313
1.780 -3.121 7.596
-7.330 3.249 5.983
ATOMIC_POSITIONS angstrom
I -0.201 -1.431 5.113
I -1.305 -3.284 9.220
As -5.162 -0.211 5.604
As -4.813 -2.007 7.428
Hg -0.646 -1.774 1.413
Hg -2.639 0.182 5.321
```

A relaxed structure of In2Hg4AsI5, computed with PBE. Values from VASP.

Calculated values
* formation energy without anion corrections: -211 meV/atom
* SG: Amm2 (38)

```
&SYSTEM
  ibrav = 0, nat = 12, ntyp = 4
/
ATOMIC_SPECIES
As 74.92 As.upf
I 126.90 I.upf
Hg 200.59 Hg.upf
In 114.82 In.upf
CELL_PARAMETERS angstrom
-2.654 -6.525 1.159
6.217 2.218 4.737
-6.115 3.613 6.334
ATOMIC_POSITIONS angstrom
As -0.885 -2.175 0.386
I -2.823 3.310 6.249
I 0.353 1.434 2.959
I -2.191 -0.371 8.959
I 0.986 -2.247 5.669
I -4.173 -0.936 3.654
Hg 3.501 0.474 3.110
Hg -6.543 -0.954 5.831
Hg -2.733 -3.205 1.884
Hg 0.976 -2.532 2.387
In -1.863 -3.216 7.186
In -1.604 0.275 5.444
```

A relaxed structure of InHgAsI2, computed with PBE. Values from VASP.

Calculated values
* formation energy without anion corrections: 2 meV/atom
* SG: P4/mmm (123)

```
&SYSTEM
  ibrav = 0, nat = 5, ntyp = 4
/
ATOMIC_SPECIES
I 126.90 I.upf
As 74.92 As.upf
Hg 200.59 Hg.upf
In 114.82 In.upf
CELL_PARAMETERS angstrom
5.802 0.000 0.000
0.000 5.771 0.000
0.000 0.000 5.802
ATOMIC_POSITIONS angstrom
I 0.000 0.000 2.901
I 2.901 0.000 0.000
As 0.000 0.000 0.000
Hg 2.901 2.885 2.901
In 0.000 2.885 0.000
```

A relaxed structure of KHg2AsI, computed with PBE. Values from VASP.

Calculated values
* formation energy without anion corrections: -354 meV/atom
* SG: P4/mmm (123)

```
&SYSTEM
  ibrav = 0, nat = 5, ntyp = 4
/
ATOMIC_SPECIES
K 39.10 K.upf
Hg 200.59 Hg.upf
As 74.92 As.upf
I 126.90 I.upf
CELL_PARAMETERS angstrom
-4.894 -0.672 1.819
-0.654 -4.077 -3.266
2.358 -4.213 4.787
ATOMIC_POSITIONS angstrom
K 1.179 -2.106 2.394
Hg -0.327 -2.039 -1.633
Hg -2.447 -0.336 0.910
As 0.000 0.000 0.000
I -1.595 -4.481 1.670
```

A relaxed structure of K2HgAsI6, computed with PBE. Values from VASP.

Calculated values
* formation energy without anion corrections: -661 meV/atom
* SG: P1 (1)

```
&SYSTEM
  ibrav = 0, nat = 10, ntyp = 4
/
ATOMIC_SPECIES
I 126.90 I.upf
K 39.10 K.upf
Hg 200.59 Hg.upf
As 74.92 As.upf
CELL_PARAMETERS angstrom
-5.977 -3.424 -4.631
-6.431 -3.848 3.771
-7.805 3.509 -0.240
ATOMIC_POSITIONS angstrom
I -9.817 0.606 1.207
I -6.459 -1.570 -2.038
I -10.562 0.272 -2.798
I -5.765 -1.279 2.003
I -3.112 0.429 -0.674
I -13.160 -1.402 -0.105
K -7.395 2.831 -0.278
K -9.621 -2.617 -0.543
Hg -14.410 -4.074 -0.844
As -4.272 -2.225 -0.286
```